Compound: P5C
Source: Alexandria
Functional: PBE
Structure: optimized geometry

## Properties
* energy above the lowest structure with this stoichiometry: 5.21 eV per formula unit
* energy of formation from the pure elements: 1.202 eV/atom

Unit cell a=2.7479 b=2.7479 c=11.6305 alpha=90.00 beta=90.00 gamma=90.00
Sites, in units of the cell vectors:
P (0.0000, 0.0000, 0.0000)
P (0.0000, 0.0000, 0.4081)
P (0.0000, 0.0000, 0.5919)
P (0.5000, 0.5000, 0.1551)
P (0.5000, 0.5000, 0.8449)
C (0.5000, 0.5000, 0.5000)

Compound: LiPmMgAu2
Source: Alexandria
Functional: PBE
Structure: optimized geometry

## Properties
* energy of formation from the pure elements: -0.637 eV/atom

Unit cell a=7.2233 b=7.2233 c=7.2233 alpha=147.73 beta=147.73 gamma=46.29
Sites, in units of the cell vectors:
Li (0.0000, 0.0000, 0.0000)
Pm (0.2500, 0.7500, 0.5000)
Mg (0.5000, 0.5000, 0.0000)
Au (0.6417, 0.1417, 0.5000)
Au (0.8583, 0.3583, 0.5000)

Compound: Na2OsO4
Source: Alexandria
Functional: PBE
Structure: optimized geometry

## Properties
* energy above the lowest structure with this stoichiometry: 0.43 eV per formula unit
* formation energy from raw total energies: -1289 meV/atom

Unit cell a=6.7200 b=6.7200 c=6.7200 alpha=146.84 beta=146.84 gamma=47.59
Sites, in units of the cell vectors:
Na (0.1586, 0.1586, 0.0000)
Na (0.8414, 0.8414, 0.0000)
Os (0.5000, 0.5000, 0.0000)
O (0.0000, 0.5000, 0.5000)
O (0.3453, 0.3453, 0.0000)
O (0.5000, 0.0000, 0.5000)
O (0.6547, 0.6547, 0.0000)

Compound: Rb3U2NiTe6
Source: Alexandria
Functional: PBE
Structure: optimized geometry

## Properties
* formation energy from raw total energies: -654 meV/atom

Unit cell a=7.6751 b=7.6751 c=8.8883 alpha=98.35 beta=98.35 gamma=119.95
Sites, in units of the cell vectors:
Rb (0.0000, 0.0000, 0.0000)
Rb (0.3285, 0.6715, 0.0000)
Rb (0.6715, 0.3285, 0.0000)
U (0.1660, 0.8340, 0.5000)
U (0.8340, 0.1660, 0.5000)
Ni (0.5000, 0.5000, 0.5000)
Te (0.1229, 0.4373, 0.3118)
Te (0.2472, 0.2472, 0.6922)
Te (0.4373, 0.1229, 0.3118)
Te (0.5627, 0.8771, 0.6882)
Te (0.7528, 0.7528, 0.3078)
Te (0.8771, 0.5627, 0.6882)

Compound: RbSnAu2
Source: Alexandria
Functional: PBE
Structure: optimized geometry

## Properties
* energy of formation from the pure elements: -0.265 eV/atom

Unit cell a=8.5899 b=7.2291 c=7.2653 alpha=90.00 beta=90.00 gamma=90.00
Sites, in units of the cell vectors:
Rb (0.0060, 0.2500, 0.1439)
Rb (0.4940, 0.7500, 0.6439)
Rb (0.5060, 0.2500, 0.3561)
Rb (0.9940, 0.7500, 0.8561)
Sn (0.1479, 0.7500, 0.3532)
Sn (0.3521, 0.2500, 0.8532)
Sn (0.6479, 0.7500, 0.1468)
Sn (0.8521, 0.2500, 0.6468)
Au (0.1660, 0.0568, 0.5766)
Au (0.1660, 0.4432, 0.5766)
Au (0.3340, 0.5568, 0.0766)
Au (0.3340, 0.9432, 0.0766)
Au (0.6660, 0.0568, 0.9234)
Au (0.6660, 0.4432, 0.9234)
Au (0.8340, 0.5568, 0.4234)
Au (0.8340, 0.9432, 0.4234)

Compound: Zn2Ag7Au
Source: Alexandria
Functional: PBE
Structure: optimized geometry

## Properties
* energy of formation from the pure elements: 0.254 eV/atom

Unit cell a=7.6449 b=7.6449 c=4.4065 alpha=90.00 beta=90.00 gamma=121.05
Sites, in units of the cell vectors:
Zn (0.1957, 0.8043, 0.0000)
Zn (0.8043, 0.1957, 0.0000)
Ag (0.0000, 0.0000, 0.0000)
Ag (0.2041, 0.4266, 0.0000)
Ag (0.2931, 0.7069, 0.5000)
Ag (0.4266, 0.2041, 0.0000)
Ag (0.5734, 0.7959, 0.0000)
Ag (0.7069, 0.2931, 0.5000)
Ag (0.7959, 0.5734, 0.0000)
Au (0.5000, 0.5000, 0.5000)

Compound: MnAgCl2
Source: Alexandria
Functional: PBE
Structure: optimized geometry

## Properties
* energy above the lowest structure with this stoichiometry: 1.65 eV per formula unit
* formation energy from raw total energies: -65 meV/atom

Unit cell a=4.7722 b=4.7722 c=4.7722 alpha=60.00 beta=60.00 gamma=60.00
Sites, in units of the cell vectors:
Mn (0.0000, 0.0000, 0.0000)
Ag (0.5000, 0.5000, 0.5000)
Cl (0.2500, 0.2500, 0.2500)
Cl (0.7500, 0.7500, 0.7500)

Compound: TcHg2Ru
Source: Alexandria
Functional: PBE
Structure: optimized geometry

## Properties
* energy above the lowest structure with this stoichiometry: 2.15 eV per formula unit
* energy of formation from the pure elements: 0.790 eV/atom

Unit cell a=4.6215 b=4.6215 c=4.6215 alpha=60.00 beta=60.00 gamma=60.00
Sites, in units of the cell vectors:
Tc (0.0000, 0.0000, 0.0000)
Hg (0.2500, 0.2500, 0.2500)
Hg (0.7500, 0.7500, 0.7500)
Ru (0.5000, 0.5000, 0.5000)

Compound: ZrSbPd5
Source: Alexandria
Functional: PBE
Structure: optimized geometry

## Properties
* formation energy from raw total energies: -199 meV/atom

Unit cell a=6.8554 b=6.8554 c=7.0867 alpha=112.73 beta=112.73 gamma=88.87
Sites, in units of the cell vectors:
Zr (0.0325, 0.9675, 0.7500)
Zr (0.9675, 0.0325, 0.2500)
Sb (0.5000, 0.5000, 0.0000)
Sb (0.5000, 0.5000, 0.5000)
Pd (0.0927, 0.3154, 0.6741)
Pd (0.0942, 0.6878, 0.0157)
Pd (0.3027, 0.6973, 0.7500)
Pd (0.3122, 0.9058, 0.4843)
Pd (0.3154, 0.0927, 0.1741)
Pd (0.6846, 0.9073, 0.8259)
Pd (0.6878, 0.0942, 0.5157)
Pd (0.6973, 0.3027, 0.2500)
Pd (0.9058, 0.3122, 0.9843)
Pd (0.9073, 0.6846, 0.3259)

Compound: SmSc2Ti
Source: Alexandria
Functional: PBE
Structure: optimized geometry

## Properties
* energy above the lowest structure with this stoichiometry: 0.00 eV per formula unit
* energy of formation from the pure elements: 0.145 eV/atom

Unit cell a=3.5645 b=3.5645 c=7.8891 alpha=90.00 beta=90.00 gamma=90.00
Sites, in units of the cell vectors:
Sm (0.0000, 0.0000, 0.0000)
Sc (0.5000, 0.5000, 0.2965)
Sc (0.5000, 0.5000, 0.7035)
Ti (0.0000, 0.0000, 0.5000)

Compound: Rb3AsS4
Source: Alexandria
Functional: PBE
Structure: optimized geometry

## Properties
* energy above the lowest structure with this stoichiometry: 0.00 eV per formula unit
* formation energy from raw total energies: -878 meV/atom

Unit cell a=9.5691 b=11.1771 c=9.8153 alpha=90.00 beta=90.00 gamma=90.00
Sites, in units of the cell vectors:
Rb (0.0539, 0.0440, 0.2020)
Rb (0.0539, 0.4560, 0.2020)
Rb (0.1427, 0.7500, 0.4221)
Rb (0.3573, 0.2500, 0.9221)
Rb (0.4461, 0.5440, 0.7020)
Rb (0.4461, 0.9560, 0.7020)
Rb (0.5539, 0.0440, 0.2980)
Rb (0.5539, 0.4560, 0.2980)
Rb (0.6427, 0.7500, 0.0779)
Rb (0.8573, 0.2500, 0.5779)
Rb (0.9461, 0.5440, 0.7980)
Rb (0.9461, 0.9560, 0.7980)
As (0.2251, 0.7500, 0.9808)
As (0.2749, 0.2500, 0.4808)
As (0.7251, 0.7500, 0.5192)
As (0.7749, 0.2500, 0.0192)
S (0.0195, 0.7500, 0.0826)
S (0.1607, 0.0871, 0.5372)
S (0.1607, 0.4129, 0.5372)
S (0.1955, 0.7500, 0.7586)
S (0.3045, 0.2500, 0.2586)
S (0.3393, 0.5871, 0.0372)
S (0.3393, 0.9129, 0.0372)
S (0.4805, 0.2500, 0.5826)
S (0.5195, 0.7500, 0.4174)
S (0.6607, 0.0871, 0.9628)
S (0.6607, 0.4129, 0.9628)
S (0.6955, 0.7500, 0.7414)
S (0.8045, 0.2500, 0.2414)
S (0.8393, 0.5871, 0.4628)
S (0.8393, 0.9129, 0.4628)
S (0.9805, 0.2500, 0.9174)

Compound: Ag2BiPd4
Source: Alexandria
Functional: PBE
Structure: optimized geometry

## Properties
* energy above the lowest structure with this stoichiometry: 0.53 eV per formula unit
* energy of formation from the pure elements: 0.074 eV/atom

Unit cell a=7.8675 b=7.8675 c=7.8675 alpha=33.81 beta=33.81 gamma=33.81
Sites, in units of the cell vectors:
Ag (0.2451, 0.2451, 0.2451)
Ag (0.7549, 0.7549, 0.7549)
Bi (0.0000, 0.0000, 0.0000)
Pd (0.1247, 0.1247, 0.1247)
Pd (0.3797, 0.3797, 0.3797)
Pd (0.6203, 0.6203, 0.6203)
Pd (0.8753, 0.8753, 0.8753)

Compound: Nd4Dy8Y
Source: Alexandria
Functional: PBE
Structure: optimized geometry

## Properties
* energy of formation from the pure elements: 0.511 eV/atom

Unit cell a=7.8206 b=7.8206 c=7.8206 alpha=90.08 beta=90.08 gamma=90.08
Sites, in units of the cell vectors:
Nd (0.0000, 0.0000, 0.0000)
Nd (0.0000, 0.5000, 0.5000)
Nd (0.5000, 0.0000, 0.5000)
Nd (0.5000, 0.5000, 0.0000)
Dy (0.2396, 0.2396, 0.2396)
Dy (0.2396, 0.2396, 0.7597)
Dy (0.2396, 0.7597, 0.2396)
Dy (0.2403, 0.7604, 0.7604)
Dy (0.7597, 0.2396, 0.2396)
Dy (0.7604, 0.2403, 0.7604)
Dy (0.7604, 0.7604, 0.2403)
Dy (0.7604, 0.7604, 0.7604)
Y (0.5000, 0.5000, 0.5000)

Compound: Mg5Zn12Ga2
Source: Alexandria
Functional: PBE
Structure: optimized geometry

## Properties
* energy of formation from the pure elements: -0.034 eV/atom

Unit cell a=8.0342 b=8.0342 c=6.6350 alpha=91.29 beta=91.29 gamma=50.54
Sites, in units of the cell vectors:
Mg (0.0000, 0.0000, 0.0000)
Mg (0.2432, 0.2432, 0.9284)
Mg (0.3025, 0.3025, 0.4742)
Mg (0.6975, 0.6975, 0.5258)
Mg (0.7568, 0.7568, 0.0716)
Zn (0.0383, 0.6657, 0.7541)
Zn (0.1156, 0.1156, 0.6014)
Zn (0.1912, 0.5815, 0.1491)
Zn (0.3343, 0.9617, 0.2459)
Zn (0.4185, 0.8088, 0.8509)
Zn (0.4477, 0.4477, 0.8239)
Zn (0.5523, 0.5523, 0.1761)
Zn (0.5815, 0.1912, 0.1491)
Zn (0.6657, 0.0383, 0.7541)
Zn (0.8088, 0.4185, 0.8509)
Zn (0.8844, 0.8844, 0.3986)
Zn (0.9617, 0.3343, 0.2459)
Ga (0.2870, 0.7130, 0.5000)
Ga (0.7130, 0.2870, 0.5000)

Compound: ScIn2P
Source: Alexandria
Functional: PBE
Structure: optimized geometry

## Properties
* energy of formation from the pure elements: -0.317 eV/atom

Unit cell a=5.9971 b=5.9971 c=5.9971 alpha=140.82 beta=140.82 gamma=56.61
Sites, in units of the cell vectors:
Sc (0.0000, 0.0000, 0.0000)
In (0.2500, 0.7500, 0.5000)
In (0.7500, 0.2500, 0.5000)
P (0.5000, 0.5000, 0.0000)

Compound: Cs2PrSb2S6
Source: Alexandria
Functional: PBE
Structure: optimized geometry

## Properties
* formation energy from raw total energies: -869 meV/atom

Unit cell a=7.4274 b=7.4274 c=9.0303 alpha=113.50 beta=113.50 gamma=61.26
Sites, in units of the cell vectors:
Cs (0.2028, 0.2028, 0.1776)
Cs (0.7972, 0.7972, 0.8224)
Pr (0.0000, 0.0000, 0.5000)
Sb (0.4456, 0.4456, 0.7995)
Sb (0.5544, 0.5544, 0.2005)
S (0.1969, 0.7101, 0.2293)
S (0.2422, 0.2422, 0.5893)
S (0.2899, 0.8031, 0.7707)
S (0.7101, 0.1969, 0.2293)
S (0.7578, 0.7578, 0.4107)
S (0.8031, 0.2899, 0.7707)

Compound: Sc3GaPt2
Source: Alexandria
Functional: PBE
Structure: optimized geometry

## Properties
* energy of formation from the pure elements: -1.036 eV/atom

Unit cell a=3.3859 b=3.3859 c=9.5517 alpha=90.00 beta=90.00 gamma=90.00
Sites, in units of the cell vectors:
Sc (0.0000, 0.0000, 0.0000)
Sc (0.0000, 0.0000, 0.3279)
Sc (0.0000, 0.0000, 0.6721)
Ga (0.5000, 0.5000, 0.5000)
Pt (0.5000, 0.5000, 0.1682)
Pt (0.5000, 0.5000, 0.8318)

Compound: Ac4Pr2Co
Source: Alexandria
Functional: PBE
Structure: optimized geometry

## Properties
* energy of formation from the pure elements: 0.034 eV/atom

Unit cell a=19.3442 b=19.3442 c=19.3442 alpha=11.94 beta=11.94 gamma=11.94
Sites, in units of the cell vectors:
Ac (0.0888, 0.0888, 0.0888)
Ac (0.3618, 0.3618, 0.3618)
Ac (0.6382, 0.6382, 0.6382)
Ac (0.9112, 0.9112, 0.9112)
Pr (0.1921, 0.1921, 0.1921)
Pr (0.8079, 0.8079, 0.8079)
Co (0.0000, 0.0000, 0.0000)

Compound: YHo3N4
Source: Alexandria
Functional: PBE
Structure: optimized geometry

## Properties
* formation energy from raw total energies: -1732 meV/atom

Unit cell a=4.8894 b=4.8894 c=4.8894 alpha=90.00 beta=90.00 gamma=90.00
Sites, in units of the cell vectors:
Y (0.0000, 0.0000, 0.0000)
Ho (0.0000, 0.5000, 0.5000)
Ho (0.5000, 0.0000, 0.5000)
Ho (0.5000, 0.5000, 0.0000)
N (0.0000, 0.0000, 0.5000)
N (0.0000, 0.5000, 0.0000)
N (0.5000, 0.0000, 0.0000)
N (0.5000, 0.5000, 0.5000)

Compound: BeCoBTe
Source: Alexandria
Functional: PBE
Structure: optimized geometry

## Properties
* energy above the lowest structure with this stoichiometry: 0.38 eV per formula unit
* formation energy from raw total energies: 153 meV/atom

Unit cell a=3.4873 b=3.4873 c=5.1915 alpha=90.00 beta=90.00 gamma=120.00
Sites, in units of the cell vectors:
Be (0.0000, 0.0000, 0.0000)
Co (0.3333, 0.6667, 0.1650)
B (0.6667, 0.3333, 0.1430)
Te (0.3333, 0.6667, 0.6511)

Number 1: theoretical density 3.16 g/cm³. Number 2: theoretical density 8.84 g/cm³. Number 3: theoretical density 5.51 g/cm³. Number 4: theoretical density 5.95 g/cm³. Number 5: theoretical density 8.81 g/cm³. Number 6: theoretical density 8.15 g/cm³. Number 7: theoretical density 5.05 g/cm³. Number 8: theoretical density 14.28 g/cm³. Number 9: theoretical density 8.84 g/cm³. Number 10: theoretical density 4.77 g/cm³. Number 11: theoretical density 2.91 g/cm³. Number 12: theoretical density 10.51 g/cm³. Number 13: theoretical density 6.82 g/cm³. Number 14: theoretical density 5.25 g/cm³. Number 15: theoretical density 5.94 g/cm³. Number 16: theoretical density 3.61 g/cm³. Number 17: theoretical density 9.02 g/cm³. Number 18: theoretical density 7.70 g/cm³. Number 19: theoretical density 9.09 g/cm³. Number 20: theoretical density 6.27 g/cm³.